one) A plane-wave DFT calculation with PBE+U was carried out for a geometry-optimized Sb2WF structure.

a b c (Å): 6.842 6.842 6.842
angles (deg): 90.00 90.00 90.00
Space group Fm-3m (No. 225)
Unique sites:
1 Sb 0.250 0.250 0.250
2 W 0.000 0.000 0.000
3 F 0.000 0.000 0.500

Output
- crystal system = cubic
- D(E_F) (states/eV/cell) = 7.2

two) A plane-wave DFT calculation with PBE+U was carried out for a geometry-optimized Sb2WF structure.

a b c (Å): 4.401 4.401 19.299
angles (deg): 90.00 90.00 90.00
Space group I-42d (No. 122)
Unique sites:
1 Sb 0.230 0.250 0.125
2 W 0.000 0.000 0.500
3 F 0.000 0.000 0.000

Output
- crystal system = tetragonal
- D(E_F) (states/eV/cell) = 1.9

Energies relative to the minimum, eV/atom: one) 0.000; two) 0.304

one) A plane-wave DFT calculation with PBE+U was carried out for a geometry-optimized Sb3WF structure.

a b c (Å): 4.883 4.883 4.883
angles (deg): 90.00 90.00 90.00
Space group Pm-3m (No. 221)
Unique sites:
1 Sb 0.000 0.000 0.500
2 W 0.500 0.500 0.500
3 F 0.000 0.000 0.000

Output
- crystal system = cubic
- D(E_F) (states/eV/cell) = 2.7

two) A plane-wave DFT calculation with PBE+U was carried out for a geometry-optimized Sb3WF structure.

a b c (Å): 5.237 5.237 5.237
angles (deg): 90.00 90.00 90.00
Space group Pm-3m (No. 221)
Unique sites:
1 Sb 0.000 0.000 0.500
2 W 0.000 0.000 0.000
3 F 0.500 0.500 0.500

Output
- crystal system = cubic
- D(E_F) (states/eV/cell) = 4.4

Energies relative to the minimum, eV/atom: one) 0.000; two) 0.039